Compound: La2SnAs4
Source: Alexandria
Functional: GGA-PBE
Structure: relaxed

```
La2SnAs4
1.0
4.0741 0.0000 0.0000
0.0000 4.0741 0.0000
0.0000 0.0000 11.2180
La Sn As
2 1 4
Cartesian
0.0000 2.0371 2.4098 La
2.0371 0.0000 8.8082 La
0.0000 0.0000 5.6090 Sn
0.0000 0.0000 0.0000 As
0.0000 2.0371 7.6213 As
2.0371 0.0000 3.5967 As
2.0371 2.0371 0.0000 As
```

Values from the calculation:
DFT total energy ... -0.2014 Ha/atom
ΔH_f (0 K) ... -0.84 eV per atom